Entry from Alexandria: a geometry-optimized CaTm2Hg structure (PBE-GGA).

Calculated values
E in eV per atom: -2.77
ΔH_f (0 K) in kJ per mole of atoms: 4
V in Å³/cell: 126.9
Crystal system: trigonal
Total moment in μB/f.u.: 0.000

a = 3.5961 Å, b = 3.5961 Å, c = 11.5180 Å
α = 81.02°, β = 81.02°, γ = 60.00°
Positions (direct):
Ca 0.0000 0.0000 0.0000
Tm 0.0989 0.0989 0.7034
Tm 0.9011 0.9011 0.2966
Hg 0.5000 0.5000 0.5000

=====

Entry from Alexandria: a geometry-optimized CaTm2Hg structure (PBE-GGA).

Calculated values
E in eV per atom: -2.95
ΔH_f (0 K) in kJ per mole of atoms: -13
V in Å³/cell: 123.2
Crystal system: tetragonal
Total moment in μB/f.u.: 0.000

a = 3.6914 Å, b = 3.6914 Å, c = 9.0448 Å
α = 90.00°, β = 90.00°, γ = 90.00°
Positions (direct):
Ca 0.5000 0.5000 0.5000
Tm 0.0000 0.0000 0.8054
Tm 0.0000 0.0000 0.1946
Hg 0.5000 0.5000 0.0000